[1]
Here is a geometry-optimized CuRhCl2 structure from Alexandria via LeMat-Bulk. Energies are from PBE.

Summary:
* formation energy from raw total energies: 28.5 meV per atom
* E above lowest polymorph: 207.4 meV/atom
* calculated density: 4.8 g/cm3

The structure in POSCAR format:
```
CuRhCl2
1.0
1.880 -2.823 0.000
1.880 2.823 0.000
0.000 0.000 7.687
Cu Rh Cl
1 1 2
Cartesian
0.000 0.000 0.000
1.880 0.000 1.627
0.000 0.000 3.112
1.880 0.000 6.491
```

=====

[2]
Here is a geometry-optimized Rb3Sm2DyS6 structure from Alexandria via LeMat-Bulk. Energies are from PBE.

Summary:
* formation energy from raw total energies: -1842.5 meV per atom
* calculated density: 4.4 g/cm3

The structure in POSCAR format:
```
Rb3Sm2DyS6
1.0
3.586 -6.211 0.000
3.586 6.211 0.000
-2.391 0.000 7.705
Rb Sm Dy S
3 2 1 6
Cartesian
0.000 0.000 0.000
3.586 2.080 0.000
3.586 -2.080 0.000
2.390 4.142 3.852
2.390 -4.142 3.852
2.390 0.000 3.852
1.214 2.038 2.357
0.038 0.000 5.349
1.214 -2.038 2.357
3.567 2.038 5.348
4.743 0.000 2.355
3.567 -2.038 5.348
```

=====

[3]
Here is a geometry-optimized MgTeOs3 structure from Alexandria via LeMat-Bulk. Energies are from PBE.

Summary:
* formation energy from raw total energies: 2040.6 meV per atom
* E above lowest polymorph: 0.0 meV/atom
* calculated density: 10.8 g/cm3

The structure in POSCAR format:
```
MgTeOs3
1.0
4.812 0.000 0.000
0.000 4.812 0.000
0.000 0.000 4.812
Mg Te Os
1 1 3
Cartesian
0.000 0.000 0.000
2.406 2.406 2.406
0.000 2.406 2.406
2.406 0.000 2.406
2.406 2.406 0.000
```

=====

[4]
Here is a geometry-optimized NaLiCdAu structure from Alexandria via LeMat-Bulk. Energies are from PBE.

Summary:
* calculated formation energy: -27.3 kJ/mol of atoms
* E above lowest polymorph: 10.7 meV/atom
* calculated density: 7.1 g/cm3

The structure in POSCAR format:
```
NaLiCdAu
1.0
4.309 -2.343 0.000
4.309 2.343 0.000
-2.539 0.000 3.938
Na Li Cd Au
1 1 1 1
Cartesian
0.000 0.000 0.000
0.249 0.000 2.955
3.040 0.000 1.969
5.827 0.000 0.987
```

=====

[5]
Here is a geometry-optimized Pm6USe12 structure from Alexandria via LeMat-Bulk. Energies are from PBE.

Summary:
* formation energy from raw total energies: -1664.8 meV per atom
* calculated density: 6.1 g/cm3

The structure in POSCAR format:
```
Pm6USe12
1.0
6.348 3.665 4.025
-6.348 3.665 4.025
0.000 -7.330 4.025
Pm U Se
6 1 12
Cartesian
-3.201 -3.153 6.455
-4.331 1.196 5.619
1.130 -4.349 5.619
-1.130 4.349 6.455
4.331 -1.196 6.455
3.201 3.153 5.619
0.000 0.000 6.037
-1.576 -5.292 5.315
-5.371 -1.281 6.759
-2.177 -0.585 4.556
-3.794 4.011 5.315
1.595 -1.593 4.556
-0.582 -2.178 7.518
0.582 2.178 4.556
-1.595 1.593 7.518
3.794 -4.011 6.759
2.177 0.585 7.518
5.371 1.281 5.315
1.576 5.292 6.759
```

=====

[6]
Here is a geometry-optimized TcSnIr structure from Alexandria via LeMat-Bulk. Energies are from PBE.

Summary:
* calculated formation energy: 5.5 kJ/mol of atoms
* E above lowest polymorph: 43.9 meV/atom
* calculated density: 13.2 g/cm3

The structure in POSCAR format:
```
TcSnIr
1.0
4.643 -1.519 0.000
4.643 1.519 0.000
-1.219 0.000 7.304
Tc Sn Ir
2 2 2
Cartesian
0.000 0.000 0.000
4.005 0.000 5.271
4.097 0.000 2.413
6.566 0.000 4.239
1.329 0.000 6.557
6.643 0.000 1.407
```

=====

[7]
Here is a geometry-optimized HfNi2Ag2 structure from Alexandria via LeMat-Bulk. Energies are from PBE.

Summary:
* calculated formation energy: 77.2 kJ/mol of atoms
* E above lowest polymorph: 757.6 meV/atom
* calculated density: 9.1 g/cm3

The structure in POSCAR format:
```
HfNi2Ag2
1.0
4.692 0.000 0.000
0.000 4.692 0.000
0.000 0.000 4.253
Hf Ni Ag
1 2 2
Cartesian
0.000 0.000 0.000
2.346 2.346 0.000
2.346 2.346 2.126
0.000 2.346 2.126
2.346 0.000 2.126
```

=====

[8]
Here is a geometry-optimized LaSc3Zn structure from Alexandria via LeMat-Bulk. Energies are from PBE.

Summary:
* calculated formation energy: 96.9 kJ/mol of atoms
* E above lowest polymorph: 865.5 meV/atom
* calculated density: 4.0 g/cm3

The structure in POSCAR format:
```
LaSc3Zn
1.0
5.199 0.000 0.000
0.000 5.199 0.000
0.000 0.000 5.199
La Sc Zn
1 3 1
Cartesian
0.000 0.000 0.000
0.000 0.000 2.599
0.000 2.599 0.000
2.599 0.000 0.000
2.599 2.599 2.599
```

=====

What is the formula in the first record?
CuRhCl2

=====

The highest calculated density belongs to which entry?
TcSnIr

=====

Look up the calculated density of the first one.
4.8 g/cm3

=====

Please write out number 6 again, unchanged.
Here is a geometry-optimized TcSnIr structure from Alexandria via LeMat-Bulk. Energies are from PBE.

Summary:
* calculated formation energy: 5.5 kJ/mol of atoms
* E above lowest polymorph: 43.9 meV/atom
* calculated density: 13.2 g/cm3

The structure in POSCAR format:
```
TcSnIr
1.0
4.643 -1.519 0.000
4.643 1.519 0.000
-1.219 0.000 7.304
Tc Sn Ir
2 2 2
Cartesian
0.000 0.000 0.000
4.005 0.000 5.271
4.097 0.000 2.413
6.566 0.000 4.239
1.329 0.000 6.557
6.643 0.000 1.407
```